Crystalline YPt2Br2 at its relaxed geometry, computed with PBEsol.

a = 4.2321 Å, b = 4.2321 Å, c = 6.7030 Å
α = 108.40°, β = 108.40°, γ = 90.00°
Positions (direct):
Pt 0.6046 0.6046 0.2093
Br 0.7500 0.2500 0.5000
Pt 0.3954 0.3954 0.7907
Br 0.2500 0.7500 0.5000
Y 0.0000 0.0000 0.0000

Its uncorrected formation energy is -0.1790 eV/atom. The calculation puts the volume at 21.49 A^3/atom. As for the space-group type: I4/mmm, No. 139.